The following is a PBE-GGA calculation of EuMnN after structural relaxation, from Alexandria.

Output
The calculation puts the raw formation energy at 0.098 eV/atom. Its symmetry is No. 107. The value obtained for the total energy is -9.16 eV per atom. Its calculated volume is 14.9 Å³/atom.

Lattice parameters (Å, degrees): 5.6674 5.6674 5.6674 150.30 150.30 42.50
Element x y z (fractional)
Eu  0.0000  0.0000  0.0000
Mn  0.2771  0.2771  0.0000
N  0.7528  0.7528  0.0000